# 1
Here is a relaxed BaHf2MgPt crystal from the Alexandria database. Energies are from PBE-GGA.

## Properties
**Total DFT energy (no corrections)**: -0.1683 Ha/atom
**D(E_F)**: 5.39 states/eV per cell
**Crystal system**: tetragonal
**Energy relative to the elements**: 126.77 kJ/mol of atoms
**Space-group type**: No. 123
**Size of the total moment**: 0.0 μB per cell

```
BaHf2MgPt
1.0
-1.6618 -4.5008 1.6402
4.0570 -0.3992 3.0151
-2.9598 2.6733 4.3366
Mg Hf Ba Pt
1 2 1 1
Cartesian
0.0000 0.0000 0.0000 Mg
2.0285 -0.1996 1.5075 Hf
-0.8309 -2.2504 0.8201 Hf
-1.4799 1.3366 2.1683 Ba
-0.2824 -1.1133 4.4959 Pt
```



# 2
Here is a relaxed Pu3Ge6Pd20 crystal from the Alexandria database. Energies are from PBE-GGA.

## Properties
**Total DFT energy (no corrections)**: -0.2404 Ha/atom
**D(E_F)**: 55.49 states/eV per cell
**Crystal system**: cubic
**Energy relative to the elements**: -50.33 kJ/mol of atoms
**Space-group type**: No. 225
**Size of the total moment**: 5.0 μB per cell

```
Pu3Ge6Pd20
1.0
-8.6933 1.6620 0.7153
-4.8458 -4.2536 6.1052
-3.1126 4.4033 7.0548
Pu Ge Pd
3 6 20
Cartesian
-12.4888 1.3588 10.4065 Pu
-4.1629 0.4529 3.4688 Pu
0.0000 0.0000 0.0000 Pu
-8.1558 0.5559 9.8177 Ge
-8.4959 1.2559 4.0576 Ge
-5.9128 2.5247 6.9919 Ge
-9.9366 3.2940 7.3230 Ge
-6.7151 -1.4822 6.5523 Ge
-10.7388 -0.7130 6.8834 Ge
-7.8305 2.7689 8.6288 Pd
-6.1893 0.3357 8.2362 Pd
-5.6715 1.0843 0.4667 Pd
-7.3559 -0.3943 2.5889 Pd
-2.0306 2.8727 4.6025 Pd
-8.6479 -1.3138 8.1810 Pd
-3.7151 1.3941 6.7247 Pd
-6.7534 2.6149 2.9190 Pd
-3.1614 -2.7750 3.9830 Pd
-1.0820 1.5306 2.4523 Pd
-5.0525 3.4504 4.8512 Pd
-1.6844 -1.4786 2.1222 Pd
-6.1832 -2.1973 4.2316 Pd
-3.0219 0.5777 0.2487 Pd
-6.3626 0.6923 5.3017 Pd
-8.8212 -0.9572 5.2465 Pd
-10.2891 1.1195 8.5736 Pd
-8.0038 3.1255 5.6943 Pd
-10.4624 1.4761 5.6391 Pd
-4.2433 -1.2444 6.4353 Pd
```